Pm2Dy2Er2Mg PBE optimized geometry; E_tot = -4.113 eV per atom
1.0
6.037 -1.818 0.000
6.037 1.818 0.000
-5.488 0.000 10.150
Pm Dy Er Mg
2 2 2 1
Cartesian
-0.995 0.000 2.494 Pm
7.581 0.000 7.656 Pm
2.275 0.000 1.320 Dy
4.311 0.000 8.831 Dy
-1.040 0.000 5.941 Er
7.626 0.000 4.209 Er
6.037 0.000 0.000 Mg